1.
SrHf3In: relaxed, GGA-PBE.

Summary:
Relative energy among the computed polymorphs (eV/atom): 0.8916
ΔE_f (meV per atom): 1957

```
SrHf3In
1.0
-2.3414 0.1825 -4.5852
4.2317 -1.9048 -2.2368
-1.7746 -4.7831 0.7158
Sr Hf In
1 3 1
direct
0.0000 0.0000 0.0000 Sr
0.0000 0.0000 0.5000 Hf
0.0000 0.5000 0.0000 Hf
0.5000 0.0000 0.0000 Hf
0.5000 0.5000 0.5000 In
```

2.
SrHf2TaIn: relaxed, GGA-PBE.

Summary:
ΔE_f (meV per atom): 2321

```
SrHf2TaIn
1.0
-2.2612 -0.5039 4.4343
1.3811 -5.1905 0.1144
4.2735 1.1881 2.3142
Sr Hf In Ta
1 2 1 1
direct
0.0000 0.0000 0.0000 Sr
0.5000 0.0000 0.0000 Hf
0.0000 0.0000 0.5000 Hf
0.0000 0.5000 0.0000 In
0.5000 0.5000 0.5000 Ta
```

3.
Sr2HfZrIn: relaxed, GGA-PBE.

Summary:
ΔE_f (meV per atom): 1288

```
Sr2HfZrIn
1.0
-4.6959 -1.0943 3.2593
3.2146 -2.3091 3.8562
0.5984 5.1730 2.5989
Sr In Zr Hf
2 1 1 1
direct
0.5000 0.0000 0.0000 Sr
0.0000 0.0000 0.5000 Sr
0.0000 0.5000 0.0000 In
0.5000 0.5000 0.5000 Zr
0.0000 0.0000 0.0000 Hf
```

Number 1: mass density 9.0 Mg/m³, density of states at the Fermi level 10.898 states/eV/f.u., size of the total moment 0.00 μB per formula unit. Number 2: mass density 9.1 Mg/m³, density of states at the Fermi level 7.012 states/eV/f.u., size of the total moment 0.00 μB per formula unit. Number 3: mass density 5.0 Mg/m³, density of states at the Fermi level 8.769 states/eV/f.u., size of the total moment 0.00 μB per formula unit.